Here is an optimized crystal structure of Sm2Er3Tl from Alexandria via LeMat-Bulk. Energies are from PBE-GGA.

abc: 4.898 4.852 7.968
angles: 107.73 90.00 90.00
Atoms (fractional coordinates):
Sm 0.000 0.662 0.324
Sm 0.000 0.338 0.676
Er 0.500 0.167 0.334
Er 0.500 0.500 0.000
Er 0.500 0.833 0.666
Tl 0.000 0.000 0.000

Output
Energy above the most stable polymorph in this dataset in meV/atom: 0
Energy relative to the elements in eV per atom: -0.098
SG: Cmmm, No. 65

=====

Here is an optimized crystal structure of Sm2Er5Tl from Alexandria via LeMat-Bulk. Energies are from PBE-GGA.

abc: 3.504 11.145 10.392
angles: 122.43 126.09 90.00
Atoms (fractional coordinates):
Sm 0.376 0.749 0.497
Sm 0.624 0.251 0.503
Er 0.000 0.500 0.000
Er 0.719 0.358 0.246
Er 0.281 0.642 0.754
Er 0.719 0.888 0.246
Er 0.281 0.112 0.754
Tl 0.000 0.000 0.000

Output
Energy above the most stable polymorph in this dataset in meV/atom: 69
Energy relative to the elements in eV per atom: 0.012
SG: C2/m, No. 12

=====

Here is an optimized crystal structure of Sm2Er3Tl from Alexandria via LeMat-Bulk. Energies are from PBE-GGA.

abc: 3.448 6.422 9.440
angles: 109.89 100.52 90.00
Atoms (fractional coordinates):
Sm 0.691 0.309 0.381
Sm 0.309 0.928 0.619
Er 0.000 0.920 0.000
Er 0.365 0.490 0.730
Er 0.635 0.760 0.270
Tl 0.500 0.336 0.000

Output
Energy above the most stable polymorph in this dataset in meV/atom: 217
Energy relative to the elements in eV per atom: 0.119
SG: Imm2, No. 44

=====

Here is an optimized crystal structure of Sm8Er6Tl from Alexandria via LeMat-Bulk. Energies are from PBE-GGA.

abc: 6.410 9.374 9.374
angles: 120.00 90.00 90.00
Atoms (fractional coordinates):
Sm 0.817 0.042 0.272
Sm 0.817 0.728 0.771
Sm 0.817 0.229 0.958
Sm 0.183 0.958 0.728
Sm 0.183 0.272 0.229
Sm 0.183 0.771 0.042
Sm 0.822 0.333 0.667
Sm 0.178 0.667 0.333
Er 0.674 0.645 0.098
Er 0.674 0.902 0.547
Er 0.674 0.453 0.355
Er 0.326 0.355 0.902
Er 0.326 0.098 0.453
Er 0.326 0.547 0.645
Tl 0.500 0.000 0.000

Output
Energy relative to the elements in eV per atom: 0.094
SG: P-3, No. 147

=====

Here is an optimized crystal structure of Sm3Er6Tl from Alexandria via LeMat-Bulk. Energies are from PBE-GGA.

abc: 3.493 12.748 14.211
angles: 100.85 90.00 90.00
Atoms (fractional coordinates):
Sm 0.750 0.422 0.903
Sm 0.250 0.578 0.097
Sm 0.750 0.632 0.506
Sm 0.250 0.368 0.494
Sm 0.750 0.075 0.100
Sm 0.250 0.925 0.900
Er 0.750 0.489 0.690
Er 0.250 0.511 0.310
Er 0.750 0.809 0.078
Er 0.250 0.191 0.922
Er 0.750 0.342 0.118
Er 0.250 0.658 0.882
Er 0.750 0.754 0.311
Er 0.250 0.246 0.689
Er 0.750 0.112 0.464
Er 0.250 0.888 0.536
Er 0.750 0.775 0.716
Er 0.250 0.225 0.284
Tl 0.750 0.036 0.722
Tl 0.250 0.964 0.278

Output
Energy above the most stable polymorph in this dataset in meV/atom: 27
Energy relative to the elements in eV per atom: 0.022
SG: P2_1/m, No. 11

=====

Here is an optimized crystal structure of SmEr3Tl4 from Alexandria via LeMat-Bulk. Energies are from PBE-GGA.

abc: 5.391 7.519 10.780
angles: 90.00 90.00 90.00
Atoms (fractional coordinates):
Tl 0.500 0.755 0.000
Tl 0.500 0.755 0.500
Tl 0.500 0.245 0.000
Tl 0.500 0.245 0.500
Tl 0.003 0.755 0.750
Tl 0.997 0.755 0.250
Tl 0.997 0.245 0.250
Tl 0.003 0.245 0.750
Sm 0.000 0.500 0.000
Sm 0.000 0.500 0.500
Er 0.000 0.000 0.000
Er 0.000 0.000 0.500
Er 0.502 0.000 0.750
Er 0.498 0.000 0.250
Er 0.502 0.500 0.750
Er 0.498 0.500 0.250

Output
Energy above the most stable polymorph in this dataset in meV/atom: 0
Energy relative to the elements in eV per atom: -0.328
SG: Pmma, No. 51